An optimized crystal structure of MgCoN2F, computed with PBE+U.

Summary:
energy above the most stable polymorph in this dataset	0	meV per atom
VASP energy	-25.1	eV per cell
M_tot	3.3	μB/cell
crystal system	tetragonal

Structure (CIF):
```
data_MgCoN2F
_chemical_formula_sum 'Mg1 Co1 N2 F1'
_cell_length_a 3.639
_cell_length_b 3.639
_cell_length_c 4.169
_cell_angle_alpha 90.00
_cell_angle_beta 90.00
_cell_angle_gamma 90.00
_symmetry_space_group_name_H-M 'P 4/m m m'
_symmetry_Int_Tables_number 123
_symmetry_space_group_name_Hall '-P 4 2'
loop_
_atom_site_label
_atom_site_fract_x
_atom_site_fract_y
_atom_site_fract_z
Mg1 0.000 0.000 0.000
Co1 0.500 0.500 0.500
N1 0.000 0.500 0.500
F1 0.500 0.500 0.000
```